Model i:
# CePaSb

An optimized crystal structure of CePaSb (GGA-PBE, Alexandria).

Symmetry   I4mm, No. 107
Spin magnetization   0.893 Bohr magnetons per cell
Theoretical density   10.018 g cm⁻³

a = 4.175 Å, b = 4.175 Å, c = 5.540 Å
α = 112.14°, β = 112.14°, γ = 90.00°
Last column: magnetic moment on the atom in μB.
Atoms (fractional coordinates):
Ce1 0.590 0.590 0.180  0.37
Pa1 0.310 0.310 0.620  0.43
Sb1 0.950 0.950 0.900  -0.01

***

Model ii:
# CePaSb

An optimized crystal structure of CePaSb (GGA-PBE, Alexandria).

Symmetry   P-6m2, No. 187
Spin magnetization   1.578 Bohr magnetons per cell
Theoretical density   11.052 g cm⁻³

a = 3.221 Å, b = 5.152 Å, c = 5.152 Å
α = 120.00°, β = 90.00°, γ = 90.00°
Last column: magnetic moment on the atom in μB.
Atoms (fractional coordinates):
Sb1 0.667 0.333 0.667  -0.01
Pa1 0.167 0.667 0.333  0.74
Ce1 0.166 0.000 0.000  0.60

***

Q: Which of them is the most stable? A: model i.

***

Model i:
# Ce2PaSb4

An optimized crystal structure of Ce2PaSb4 (GGA-PBE, Alexandria).

Symmetry   I-42d, No. 122
Spin magnetization   2.300 Bohr magnetons per cell
Theoretical density   8.286 g cm⁻³

a = 8.040 Å, b = 8.040 Å, c = 8.040 Å
α = 109.55°, β = 109.31°, γ = 109.55°
Last column: magnetic moment on the atom in μB.
Atoms (fractional coordinates):
Pa1 0.000 0.000 0.000  0.08
Ce1 0.375 0.871 0.746  0.55
Ce2 0.875 0.129 0.504  0.55
Sb1 0.285 0.248 0.881  -0.02
Ce3 0.496 0.371 0.625  0.55
Sb2 0.631 0.748 0.535  -0.02
Sb3 0.963 0.596 0.715  -0.02
Pa2 0.750 0.500 0.250  0.08
Ce4 0.254 0.629 0.125  0.55
Sb4 0.787 0.252 0.883  -0.02
Sb5 0.119 0.404 0.367  -0.02
Sb6 0.633 0.752 0.037  -0.02
Sb7 0.117 0.904 0.369  -0.02
Sb8 0.465 0.096 0.213  -0.02

***

Model ii:
# Ce2PaSb4

An optimized crystal structure of Ce2PaSb4 (GGA-PBE, Alexandria).

Symmetry   P-4m2, No. 115
Spin magnetization   4.308 Bohr magnetons per cell
Theoretical density   7.553 g cm⁻³

a = 4.345 Å, b = 4.345 Å, c = 11.627 Å
α = 90.00°, β = 90.00°, γ = 90.00°
Last column: magnetic moment on the atom in μB.
Atoms (fractional coordinates):
Pa1 0.500 0.500 0.000  1.53
Sb1 0.000 0.000 0.500  -0.01
Ce1 0.500 0.000 0.715  0.89
Sb2 0.500 0.000 0.189  -0.04
Sb3 0.000 0.500 0.811  -0.04
Sb4 0.500 0.500 0.500  -0.01
Ce2 0.000 0.500 0.285  0.89

***

Q: Which of them is the most stable? A: model i.

***

Model i:
# CePaSb2

An optimized crystal structure of CePaSb2 (GGA-PBE, Alexandria).

Symmetry   P4/nmm, No. 129
Spin magnetization   3.589 Bohr magnetons per cell
Theoretical density   9.132 g cm⁻³

a = 4.350 Å, b = 4.350 Å, c = 11.814 Å
α = 90.00°, β = 90.00°, γ = 90.00°
Last column: magnetic moment on the atom in μB.
Atoms (fractional coordinates):
Pa1 0.500 0.500 0.000  0.73
Sb1 0.000 0.500 0.797  -0.02
Sb2 0.500 0.000 0.203  -0.02
Pa2 0.000 0.000 0.000  0.73
Ce1 0.000 0.500 0.289  0.79
Sb3 0.500 0.500 0.500  -0.01
Ce2 0.500 0.000 0.711  0.79
Sb4 0.000 0.000 0.500  -0.01

***

Model ii:
# CePaSb2

An optimized crystal structure of CePaSb2 (GGA-PBE, Alexandria).

Symmetry   P4/mmm, No. 123
Spin magnetization   2.085 Bohr magnetons per cell
Theoretical density   9.407 g cm⁻³

a = 3.776 Å, b = 3.776 Å, c = 7.612 Å
α = 90.00°, β = 90.00°, γ = 90.00°
Last column: magnetic moment on the atom in μB.
Atoms (fractional coordinates):
Sb1 0.000 0.000 0.760  -0.04
Sb2 0.000 0.000 0.240  -0.04
Ce1 0.500 0.500 0.500  0.93
Pa1 0.500 0.500 0.000  0.66

***

Model iii:
# CePaSb2

An optimized crystal structure of CePaSb2 (GGA-PBE, Alexandria).

Symmetry   R-3m, No. 166
Spin magnetization   3.452 Bohr magnetons per cell
Theoretical density   8.278 g cm⁻³

a = 4.426 Å, b = 7.666 Å, c = 7.704 Å
α = 99.54°, β = 106.70°, γ = 90.00°
Last column: magnetic moment on the atom in μB.
Atoms (fractional coordinates):
Sb1 0.129 0.376 0.758  -0.02
Pa1 0.250 0.750 0.000  0.70
Sb2 0.371 0.124 0.242  -0.02
Ce1 0.500 0.500 0.500  0.80
Pa2 0.750 0.250 0.000  0.70
Ce2 0.000 0.000 0.500  0.80
Sb3 0.871 0.624 0.242  -0.02
Sb4 0.629 0.876 0.758  -0.02

***

Q: Which of them is the most stable? A: model iii.